No. 1
A relaxed LiTi8O16 crystal, computed with GGA-PBE.

Output
Its space group is P1, No. 1. The calculation puts the polymorph energy (0 for the lowest one) at 0 meV per atom. The value obtained for the total energy is -218.09 eV for the cell shown.

The structure in POSCAR format:
```
LiTi8O16
1.0
5.193 0.002 0.004
0.071 5.563 0.009
0.114 0.136 9.298
Li Ti O
1 8 16
Cartesian
2.444 2.196 5.540
4.699 3.516 5.869
1.966 2.328 8.240
3.278 0.550 3.388
0.719 4.990 1.199
0.634 2.219 3.440
3.308 3.346 1.236
2.052 5.043 5.916
4.552 0.719 8.111
2.949 3.508 6.830
0.345 2.280 7.158
4.980 0.659 2.516
2.440 4.976 2.168
2.392 2.199 2.509
5.005 3.440 2.180
0.358 5.071 6.813
2.882 0.793 7.090
1.051 0.971 9.230
3.705 4.835 4.759
1.658 3.643 0.128
4.226 2.083 4.595
4.274 4.760 0.109
1.650 0.835 4.545
3.673 2.095 9.225
1.144 3.576 4.794
```


No. 2
A relaxed Mn2TlTc crystal, computed with GGA-PBE.

Output
Its space group is I4/mmm, No. 139. The value obtained for the formation energy is 2.05 eV per formula unit. The value obtained for the total energy is -29.02 eV for the cell shown.

The structure in POSCAR format:
```
Mn2TlTc
1.0
-1.147 -3.057 -3.449
2.763 -3.789 0.749
-2.846 2.272 3.048
Mn Tc Tl
2 1 1
Cartesian
0.000 0.000 0.000
0.808 -3.423 -1.350
0.362 -2.470 1.223
-1.592 -2.104 -0.876
```


| no. | total moment (μB/atom) |
| --- | --- |
| 1 | 0.001 |
| 2 | 1.532 |